Record 1
VASP calculation (GGA-PBE) on a geometry-optimized SrPrTcN3 structure.

Computed properties:
Calculated total energy   -7.613 eV/atom
E_form (uncorrected)   -0.65 eV per atom
Crystal system   monoclinic
Total magnetic moment   0.00 Bohr magnetons per cell

a = 6.9084 Å, b = 3.5407 Å, c = 9.2930 Å
α = 90.00°, β = 99.79°, γ = 90.00°
With the nearest neighbours (Å) after each atom.
Space group P2_1/m (No. 11)
Inequivalent atoms, fractional coordinates:
Sr  0.2346  0.2500  0.2431 (multiplicity 2)  5 N 2.57-2.68
Pr  0.1849  0.2500  0.6174 (multiplicity 2)  3 N 2.39-2.42
Tc  0.3861  0.7500  0.9207 (multiplicity 2)  1 N 1.77
N  0.1413  0.7500  0.8268 (multiplicity 2)  1 Tc 1.77
N  0.1656  0.7500  0.4384 (multiplicity 2)  3 Pr 2.39-2.42, 2 Sr 2.64
N  0.4724  0.7500  0.1439 (multiplicity 2)  3 Tc 2.06-2.16



Record 2
VASP calculation (GGA-PBE) on a geometry-optimized Sr2PrTcN4 structure.

Computed properties:
Calculated total energy   -7.000 eV/atom
E_form (uncorrected)   -0.52 eV per atom
Crystal system   orthorhombic
Total magnetic moment   0.00 Bohr magnetons per cell

a = 3.5439 Å, b = 12.0617 Å, c = 12.9792 Å
α = 90.00°, β = 90.00°, γ = 90.00°
With the nearest neighbours (Å) after each atom.
Space group Cmcm (No. 63)
Inequivalent atoms, fractional coordinates:
Sr  0.0000  0.1314  0.0376 (multiplicity 8)  3 N 2.43-2.56
Pr  0.0000  0.4279  0.2500 (multiplicity 4)  2 N 2.62
Tc  0.0000  0.3158  0.7500 (multiplicity 4)  2 N 1.80
N  0.0000  0.0880  0.2500 (multiplicity 4)  2 Tc 2.12
N  0.0000  0.2262  0.6392 (multiplicity 8)  1 Tc 1.80
N  0.0000  0.5000  0.0000 (multiplicity 4)  4 Sr 2.43



Record 3
VASP calculation (GGA-PBE) on a geometry-optimized Sr2PrTc2N6 structure.

Computed properties:
Calculated total energy   -7.749 eV/atom
E_form (uncorrected)   -0.58 eV per atom
Crystal system   monoclinic
Total magnetic moment   0.00 Bohr magnetons per cell

a = 10.6460 Å, b = 6.1832 Å, c = 7.1100 Å
α = 90.00°, β = 123.00°, γ = 90.00°
With the nearest neighbours (Å) after each atom.
Space group C2/m (No. 12)
Inequivalent atoms, fractional coordinates:
Sr  0.2137  0.0000  0.1751 (multiplicity 4)  5 N 2.67-2.83
Pr  0.0000  0.0000  0.5000 (multiplicity 2)  6 N 2.45-2.54
Tc  0.0298  0.5000  0.2003 (multiplicity 4)  3 N 1.78-1.81
N  0.0688  0.2614  0.7997 (multiplicity 8)  1 Tc 1.81
N  0.2286  0.5000  0.3871 (multiplicity 4)  1 Tc 1.78



Record 4
VASP calculation (GGA-PBE) on a geometry-optimized SrPr3Th2N6 structure.

Computed properties:
Calculated total energy   -8.083 eV/atom
E_form (uncorrected)   -1.35 eV per atom
Crystal system   monoclinic
Total magnetic moment   0.00 Bohr magnetons per cell

a = 16.0393 Å, b = 3.7050 Å, c = 7.4150 Å
α = 90.00°, β = 103.39°, γ = 90.00°
With the nearest neighbours (Å) after each atom.
Space group C2/m (No. 12)
Inequivalent atoms, fractional coordinates:
Sr  0.0000  0.0000  0.0000 (multiplicity 2)  6 N 2.70
Pr  0.0000  0.0000  0.5000 (multiplicity 2)  6 N 2.55-2.67
Pr  0.1656  0.5000  0.8358 (multiplicity 4)  6 N 2.52-2.74
Th  0.1649  0.5000  0.3305 (multiplicity 4)  6 N 2.42-2.57
N  0.0097  0.5000  0.2694 (multiplicity 4)  1 Th 2.42, 2 Pr 2.55, 2 Sr 2.70
N  0.1714  0.0000  0.5743 (multiplicity 4)  3 Th 2.56-2.57, 3 Pr 2.67-2.70
N  0.1732  0.0000  0.0998 (multiplicity 4)  3 Pr 2.52-2.68, 2 Th 2.55, 1 Sr 2.70



Record 5
VASP calculation (GGA-PBE) on a geometry-optimized Sr2PrUN4 structure.

Computed properties:
Calculated total energy   -7.755 eV/atom
E_form (uncorrected)   -1.16 eV per atom
Crystal system   monoclinic
Total magnetic moment   0.79 Bohr magnetons per cell

a = 6.2856 Å, b = 3.6556 Å, c = 6.3733 Å
α = 90.00°, β = 109.39°, γ = 90.00°
With the nearest neighbours (Å) after each atom.
Space group P2/m (No. 10)
Inequivalent atoms, fractional coordinates:
Sr  0.0000  0.0000  0.0000 (multiplicity 1)  6 N 2.81-2.99
Sr  0.5000  0.5000  0.0000 (multiplicity 1)  6 N 2.65-2.68
Pr  0.0000  0.5000  0.5000 (multiplicity 1)  6 N 2.55-2.56
U  0.5000  0.0000  0.5000 (multiplicity 1)  6 N 2.18-2.38
N  0.2784  0.0000  0.6999 (multiplicity 2)  1 U 2.18
N  0.2868  0.5000  0.2963 (multiplicity 2)  2 U 2.38, 1 Pr 2.55, 1 Sr 2.65



Record 6
VASP calculation (GGA-PBE) on a geometry-optimized Sr2Pr3UN6 structure.

Computed properties:
Calculated total energy   -7.788 eV/atom
E_form (uncorrected)   -1.21 eV per atom
Crystal system   monoclinic
Total magnetic moment   0.01 Bohr magnetons per cell

a = 6.3630 Å, b = 11.0458 Å, c = 6.3011 Å
α = 90.00°, β = 109.66°, γ = 90.00°
With the nearest neighbours (Å) after each atom.
Space group C2/m (No. 12)
Inequivalent atoms, fractional coordinates:
Sr  0.0000  0.1669  0.0000 (multiplicity 4)  6 N 2.69-2.70
Pr  0.0000  0.0000  0.5000 (multiplicity 2)  6 N 2.53-2.83
Pr  0.0000  0.3384  0.5000 (multiplicity 4)  4 N 2.47-2.53
U  0.0000  0.5000  0.0000 (multiplicity 2)  6 N 2.24-2.35
N  0.2083  0.5000  0.7544 (multiplicity 4)  1 U 2.35, 2 Pr 2.47
N  0.2165  0.3611  0.2319 (multiplicity 8)  1 U 2.24